Compound: Dy6Se5S
Source: Alexandria via LeMat-Bulk
Functional: PBE-GGA
Structure: optimized geometry

a = 7.0235 Å, b = 7.0235 Å, c = 7.0191 Å
α = 99.53°, β = 99.53°, γ = 120.09°
Positions (direct):
Dy  0.0771  0.3884  0.7327
Dy  0.2323  0.2323  0.2630
Dy  0.3884  0.0771  0.7327
Dy  0.6116  0.9229  0.2673
Dy  0.7677  0.7677  0.7370
Dy  0.9229  0.6116  0.2673
Se  0.1730  0.8270  0.0000
Se  0.3343  0.6657  0.5000
Se  0.5000  0.5000  0.0000
Se  0.6657  0.3343  0.5000
Se  0.8270  0.1730  0.0000
S  0.0000  0.0000  0.5000

Calculated values
formation energy without anion corrections = -1.80 eV/atom
V = 282.65 Å³ per cell
total DFT energy (no corrections) = -70.739 eV/cell
magnetization = 0.00 μB per formula unit

=====

Compound: ZnGaNi
Source: Alexandria via LeMat-Bulk
Functional: PBE-GGA
Structure: optimized geometry

a = 4.1621 Å, b = 4.5448 Å, c = 4.9635 Å
α = 109.92°, β = 91.29°, γ = 101.05°
Positions (direct):
Zn  0.2309  0.4187  0.1172
Zn  0.7691  0.5813  0.8828
Ga  0.3515  0.8917  0.7020
Ga  0.6485  0.1083  0.2980
Ni  0.1915  0.3189  0.5787
Ni  0.8085  0.6811  0.4213

Calculated values
energy of formation from the pure elements = -215 meV/atom
V = 86.24 Å³ per cell
total DFT energy (no corrections) = -21.454 eV/cell
magnetization = 0.00 μB per formula unit

=====

Compound: MnZnTc2N
Source: Alexandria via LeMat-Bulk
Functional: PBE-GGA
Structure: optimized geometry

a = 4.0508 Å, b = 4.0508 Å, c = 3.8477 Å
α = 90.00°, β = 90.00°, γ = 90.00°
Positions (direct):
Mn  0.0000  0.0000  0.0000
Zn  0.5000  0.5000  0.0000
Tc  0.0000  0.5000  0.5000
Tc  0.5000  0.0000  0.5000
N  0.0000  0.0000  0.5000

Calculated values
formation energy without anion corrections = -0.08 eV/atom
V = 63.14 Å³ per cell
total DFT energy (no corrections) = -39.877 eV/cell
magnetization = 2.03 μB per formula unit